Entry 1:
First-principles (PBE) data for an optimized crystal structure of HfBeSnBr2, as listed in Alexandria.

Raw formation energy, kJ/mol of formula units: 423.5
Total energy, Ha/atom: -0.122

Unit cell a=5.7546 b=5.7546 c=4.5749 alpha=90.00 beta=90.00 gamma=90.00
Element x y z (fractional)
1 Hf 0.0000 0.0000 0.0000
2 Be 0.5000 0.5000 0.0000
3 Sn 0.5000 0.5000 0.5000
4 Br 0.0000 0.5000 0.5000
5 Br 0.5000 0.0000 0.5000

Entry 2:
First-principles (PBE) data for an optimized crystal structure of Nd2TlGa, as listed in Alexandria.

Total energy, Ha/atom: -0.154
Relative energy among the computed polymorphs, eV/f.u.: 0.00

Unit cell a=3.7517 b=3.7517 c=7.8304 alpha=90.00 beta=90.00 gamma=90.00
Element x y z (fractional)
1 Nd 0.0000 0.0000 0.2330
2 Nd 0.0000 0.0000 0.7670
3 Tl 0.5000 0.5000 0.5000
4 Ga 0.5000 0.5000 0.0000

Entry 3:
First-principles (PBE) data for an optimized crystal structure of Rb2TcSCl5, as listed in Alexandria.

Raw formation energy, kJ/mol of formula units: -999.4
Total energy, Ha/atom: -0.147

Unit cell a=7.1788 b=7.1788 c=7.1788 alpha=118.75 beta=118.75 gamma=92.18
Element x y z (fractional)
1 Rb 0.0000 0.5000 0.5000
2 Rb 0.5000 0.0000 0.5000
3 Tc 0.2315 0.2315 0.0000
4 S 0.0145 0.0145 0.0000
5 Cl 0.0183 0.0183 0.5378
6 Cl 0.0183 0.4805 0.0000
7 Cl 0.4805 0.0183 0.0000
8 Cl 0.4805 0.4805 0.4622
9 Cl 0.4818 0.4818 0.0000

Entry 4:
First-principles (PBE) data for an optimized crystal structure of La6As3SCl2, as listed in Alexandria.

Raw formation energy, kJ/mol of formula units: -2019.0
Total energy, Ha/atom: -0.221

Unit cell a=7.4769 b=7.4769 c=7.3280 alpha=99.76 beta=99.76 gamma=120.05
Element x y z (fractional)
1 La 0.0858 0.4066 0.7567
2 La 0.2348 0.2348 0.2420
3 La 0.4066 0.0858 0.7567
4 La 0.5934 0.9142 0.2433
5 La 0.7652 0.7652 0.7580
6 La 0.9142 0.5934 0.2433
7 As 0.1703 0.8297 0.0000
8 As 0.5000 0.5000 0.0000
9 As 0.8297 0.1703 0.0000
10 S 0.0000 0.0000 0.5000
11 Cl 0.3338 0.6662 0.5000
12 Cl 0.6662 0.3338 0.5000

Entry 5:
First-principles (PBE) data for an optimized crystal structure of Ac2Al3PdAu12, as listed in Alexandria.

Total energy, Ha/atom: -0.138

Unit cell a=8.2485 b=8.2485 c=8.2485 alpha=64.48 beta=64.48 gamma=64.48
Element x y z (fractional)
1 Ac 0.1152 0.1152 0.1152
2 Ac 0.8848 0.8848 0.8848
3 Al 0.0000 0.5000 0.5000
4 Al 0.5000 0.0000 0.5000
5 Al 0.5000 0.5000 0.0000
6 Pd 0.5000 0.5000 0.5000
7 Au 0.1272 0.6280 0.6280
8 Au 0.1484 0.1484 0.6197
9 Au 0.1484 0.6197 0.1484
10 Au 0.3720 0.3720 0.8728
11 Au 0.3720 0.8728 0.3720
12 Au 0.3803 0.8516 0.8516
13 Au 0.6197 0.1484 0.1484
14 Au 0.6280 0.1272 0.6280
15 Au 0.6280 0.6280 0.1272
16 Au 0.8516 0.3803 0.8516
17 Au 0.8516 0.8516 0.3803
18 Au 0.8728 0.3720 0.3720

Entry 6:
First-principles (PBE) data for an optimized crystal structure of HfPaGa2, as listed in Alexandria.

Total energy, Ha/atom: -0.229
Relative energy among the computed polymorphs, eV/f.u.: 1.82

Unit cell a=3.0353 b=3.0353 c=32.7531 alpha=90.00 beta=90.00 gamma=120.00
Element x y z (fractional)
1 Hf 0.0000 0.0000 0.0000
2 Hf 0.3333 0.6667 0.6667
3 Hf 0.6667 0.3333 0.3333
4 Pa 0.0000 0.0000 0.5000
5 Pa 0.3333 0.6667 0.1667
6 Pa 0.6667 0.3333 0.8333
7 Ga 0.0000 0.0000 0.4072
8 Ga 0.0000 0.0000 0.5928
9 Ga 0.3333 0.6667 0.0739
10 Ga 0.3333 0.6667 0.2594
11 Ga 0.6667 0.3333 0.7406
12 Ga 0.6667 0.3333 0.9261

Entry 7:
First-principles (PBE) data for an optimized crystal structure of MnW, as listed in Alexandria.

Total energy, Ha/atom: -0.402

Unit cell a=3.0707 b=3.0707 c=5.8957 alpha=90.00 beta=90.00 gamma=90.00
Element x y z (fractional)
1 Mn 0.2500 0.2500 0.1220
2 Mn 0.7500 0.7500 0.8780
3 W 0.2500 0.2500 0.6445
4 W 0.7500 0.7500 0.3555

Entry 8:
First-principles (PBE) data for an optimized crystal structure of Zn2TcSe, as listed in Alexandria.

Raw formation energy, kJ/mol of formula units: 24.3
Total energy, Ha/atom: -0.148
Relative energy among the computed polymorphs, eV/f.u.: 0.14

Unit cell a=2.9710 b=4.2467 c=11.7482 alpha=90.00 beta=90.00 gamma=90.00
Element x y z (fractional)
1 Zn 0.0000 0.0000 0.0000
2 Zn 0.0000 0.5000 0.1463
3 Zn 0.5000 0.0000 0.6463
4 Zn 0.5000 0.5000 0.5000
5 Tc 0.0000 0.0000 0.4571
6 Tc 0.5000 0.5000 0.9571
7 Se 0.0000 0.5000 0.7919
8 Se 0.5000 0.0000 0.2919

Entry 9:
First-principles (PBE) data for an optimized crystal structure of Rb2TlPb, as listed in Alexandria.

Total energy, Ha/atom: -0.068
Relative energy among the computed polymorphs, eV/f.u.: 0.83

Unit cell a=10.4293 b=10.4293 c=6.7507 alpha=90.00 beta=90.00 gamma=90.00
Element x y z (fractional)
1 Rb 0.2459 0.2500 0.1250
2 Rb 0.2500 0.7459 0.3750
3 Rb 0.2500 0.7541 0.8750
4 Rb 0.2541 0.2500 0.6250
5 Rb 0.7459 0.7500 0.6250
6 Rb 0.7500 0.2459 0.8750
7 Rb 0.7500 0.2541 0.3750
8 Rb 0.7541 0.7500 0.1250
9 Tl 0.0000 0.0000 0.0000
10 Tl 0.0000 0.5000 0.2500
11 Tl 0.5000 0.0000 0.7500
12 Tl 0.5000 0.5000 0.5000
13 Pb 0.0000 0.0000 0.5000
14 Pb 0.0000 0.5000 0.7500
15 Pb 0.5000 0.0000 0.2500
16 Pb 0.5000 0.5000 0.0000

Entry 10:
First-principles (PBE) data for an optimized crystal structure of Ba2Zn6Ni, as listed in Alexandria.

Total energy, Ha/atom: -0.075

Unit cell a=6.5666 b=6.5666 c=5.8024 alpha=90.02 beta=90.02 gamma=59.85
Element x y z (fractional)
1 Ba 0.1677 0.1677 0.3190
2 Ba 0.8323 0.8323 0.6810
3 Zn 0.2090 0.6470 0.1829
4 Zn 0.3530 0.7910 0.8171
5 Zn 0.3561 0.3561 0.8185
6 Zn 0.6439 0.6439 0.1815
7 Zn 0.6470 0.2090 0.1829
8 Zn 0.7910 0.3530 0.8171
9 Ni 0.5000 0.5000 0.5000

Entry 11:
First-principles (PBE) data for an optimized crystal structure of Al3Ru, as listed in Alexandria.

Total energy, Ha/atom: -0.198

Unit cell a=2.9001 b=2.9001 c=25.4682 alpha=90.00 beta=90.00 gamma=120.00
Element x y z (fractional)
1 Al 0.0000 0.0000 0.0000
2 Al 0.0000 0.0000 0.2423
3 Al 0.0000 0.0000 0.7577
4 Al 0.3333 0.6667 0.4244
5 Al 0.3333 0.6667 0.6667
6 Al 0.3333 0.6667 0.9089
7 Al 0.6667 0.3333 0.0911
8 Al 0.6667 0.3333 0.3333
9 Al 0.6667 0.3333 0.5756
10 Ru 0.0000 0.0000 0.5000
11 Ru 0.3333 0.6667 0.1667
12 Ru 0.6667 0.3333 0.8333

Entry 12:
First-principles (PBE) data for an optimized crystal structure of Ge2Au13, as listed in Alexandria.

Total energy, Ha/atom: -0.125
Relative energy among the computed polymorphs, eV/f.u.: 0.00

Unit cell a=5.4247 b=7.2584 c=7.6429 alpha=100.42 beta=98.57 gamma=103.84
Element x y z (fractional)
1 Ge 0.2009 0.2516 0.3293
2 Ge 0.7991 0.7484 0.6707
3 Au 0.0000 0.0000 0.5000
4 Au 0.0254 0.6837 0.2365
5 Au 0.2034 0.7266 0.9075
6 Au 0.2449 0.1347 0.9910
7 Au 0.2777 0.5981 0.5447
8 Au 0.4766 0.5681 0.1863
9 Au 0.4978 0.9891 0.3028
10 Au 0.5022 0.0109 0.6972
11 Au 0.5234 0.4319 0.8137
12 Au 0.7223 0.4019 0.4553
13 Au 0.7551 0.8653 0.0090
14 Au 0.7966 0.2734 0.0925
15 Au 0.9746 0.3163 0.7635

Question: Which formula does entry 5 have?
Answer: Ac2Al3PdAu12

Question: Which value of total energy does entry 1 give?
Answer: -0.122 Ha/atom